1.
Sc3Se3Br | PBE | optimized geometry

Values from the calculation:
Crystal system: cubic
SG: I-43m
ρ, Mg/m³: 4.7
Total magnetic moment, μB/cell: 0.0
Density of states at the Fermi level, states/eV/f.u.: 2.48
DFT total energy, eV per atom: -6.134

```
28
Lattice="8.8721 0.0000 -3.1368 -4.4361 7.6835 -3.1368 0.0000 0.0000 9.4103" Properties=species:S:1:pos:R:3 pbc="T T T"
Se -1.1443 5.8263 3.9724
Se 5.6179 1.9222 3.9724
Se 4.3640 0.0000 0.7317
Se 2.2541 3.9041 3.8684
Se 1.1818 5.7613 0.8357
Se 2.1445 0.0000 3.8705
Se 4.3985 3.9041 0.8357
Se -2.1820 3.7793 0.7317
Se 3.3638 5.8263 -2.4030
Se 3.2918 1.8572 -2.3011
Se -0.0375 3.7793 -2.3011
Se -1.0722 1.8572 3.8705
Sc -1.0384 5.7803 -0.7343
Sc 1.0890 5.6926 -3.8710
Sc 4.3854 3.7894 -3.8710
Sc 6.5733 0.0000 2.3171
Sc 4.3757 0.0000 5.4250
Sc 3.3977 1.9032 2.4025
Sc 1.1494 1.9909 5.4539
Sc 2.2482 3.8941 -0.8486
Sc -3.2866 5.6926 2.3171
Sc -2.1878 3.7894 5.4250
Sc 5.5251 1.9909 -0.7343
Sc -0.0506 3.8941 2.4025
Br 6.6296 0.0000 -2.3439
Br 0.0000 0.0000 7.0317
Br -3.3148 5.7414 -2.3439
Br 1.1213 1.9421 0.7929
```



2.
ScSe2Br | PBE | optimized geometry

Values from the calculation:
Crystal system: orthorhombic
SG: Cmm2
ρ, Mg/m³: 4.1
Total magnetic moment, μB/cell: 0.0
Density of states at the Fermi level, states/eV/f.u.: 2.87
DFT total energy, eV per atom: -4.395

```
4
Lattice="3.2550 0.0788 0.0000 -0.1461 3.2527 0.0000 0.0000 0.0000 10.8424" Properties=species:S:1:pos:R:3 pbc="T T T"
Se 1.5544 1.6657 2.6153
Se 0.0000 0.0000 9.7533
Br 0.0000 0.0000 6.4449
Sc 1.5544 1.6657 8.2925
```



3.
ScSe2Br | PBE | optimized geometry

Values from the calculation:
Crystal system: monoclinic
SG: P2/m
ρ, Mg/m³: 4.4
Total magnetic moment, μB/cell: 0.0
Density of states at the Fermi level, states/eV/f.u.: 0.35
DFT total energy, eV per atom: -4.874

```
4
Lattice="-2.6077 -1.7928 -2.3896 3.1108 -4.2728 -0.1889 -0.1716 -5.0352 3.9649" Properties=species:S:1:pos:R:3 pbc="T T T"
Sc 0.9005 -7.8774 1.6372
Se 1.5499 -5.2758 2.2669
Se 2.8589 -8.6862 3.3972
Br -0.5690 -3.2234 -0.2508
```



4.
ScSeBr2 | PBE | optimized geometry

Values from the calculation:
Crystal system: orthorhombic
SG: Cmmm
ρ, Mg/m³: 3.4
Total magnetic moment, μB/cell: 0.5
Density of states at the Fermi level, states/eV/f.u.: 2.67
DFT total energy, eV per atom: -4.492

```
4
Lattice="-0.8067 2.3183 2.6796 -7.1747 -2.5121 0.0133 -4.1236 -5.3913 3.4228" Properties=species:S:1:pos:R:3 pbc="T T T"
Br -4.3546 -3.0459 1.3242
Br -1.2946 -0.9058 0.3939
Se -8.8771 -4.7684 3.9169
Sc -3.2279 -0.8167 2.1988
```



5.
ScSe2Br | PBE | optimized geometry

Values from the calculation:
Crystal system: tetragonal
SG: I-42d
ρ, Mg/m³: 3.4
Total magnetic moment, μB/cell: 0.0
Density of states at the Fermi level, states/eV/f.u.: 6.62
DFT total energy, eV per atom: -4.253

```
8
Lattice="-1.8191 2.2824 -5.6849 -6.0004 0.5307 2.1331 -2.6093 7.6719 0.3234" Properties=species:S:1:pos:R:3 pbc="T T T"
Sc -3.9097 1.4066 -1.7759
Sc -6.2597 4.8046 0.3403
Se -4.7716 2.7127 0.2607
Se -8.3317 8.1741 -3.0314
Se -5.3566 6.8502 -0.9232
Se -2.3976 3.2330 -2.7628
Br 0.0000 0.0000 0.0000
Br -4.1691 5.6804 -3.5687
```



6.
ScSeBr2 | PBE | optimized geometry

Values from the calculation:
Crystal system: trigonal
SG: R-3m
ρ, Mg/m³: 4.5
Total magnetic moment, μB/cell: 0.0
Density of states at the Fermi level, states/eV/f.u.: 1.31
DFT total energy, eV per atom: -4.088

```
4
Lattice="9.8919 -0.0212 -0.0125 9.2635 3.4695 -0.0125 9.2635 1.6676 3.0425" Properties=species:S:1:pos:R:3 pbc="T T T"
Sc 7.1048 1.2790 0.7544
Br 14.8888 2.6802 1.5809
Br 27.7398 4.9936 2.9454
Se 21.3143 3.8369 2.2631
```



7.
ScSeBr2 | PBE | optimized geometry

Values from the calculation:
Crystal system: cubic
SG: F-43m
ρ, Mg/m³: 5.2
Total magnetic moment, μB/cell: 0.0
Density of states at the Fermi level, states/eV/f.u.: 3.72
DFT total energy, eV per atom: -3.818

```
4
Lattice="5.0489 0.0000 0.0000 2.5244 4.3724 0.0000 2.5244 1.4575 4.1224" Properties=species:S:1:pos:R:3 pbc="T T T"
Se 2.5244 1.4575 1.0306
Br 0.0000 0.0000 0.0000
Br 7.5733 4.3724 3.0918
Sc 5.0489 2.9150 2.0612
```



8.
Sc2SeBr3 | PBE | optimized geometry

Values from the calculation:
Crystal system: monoclinic
SG: C2/m
ρ, Mg/m³: 3.8
Total magnetic moment, μB/cell: 0.3
Density of states at the Fermi level, states/eV/f.u.: 3.84
DFT total energy, eV per atom: -5.139

```
12
Lattice="3.7372 0.0000 0.7762 1.8340 8.6923 0.5547 -0.3119 -1.0513 10.8864" Properties=species:S:1:pos:R:3 pbc="T T T"
Se 2.1914 3.0019 8.2189
Se 3.0679 4.6392 3.9984
Br 4.3748 6.5642 7.0913
Br 0.1266 -0.2871 8.7750
Br 5.1327 7.9281 3.4423
Br 3.4935 4.8983 11.3344
Br 0.8845 1.0768 5.1260
Br 1.7658 2.7427 0.8829
Sc 1.5364 5.2760 1.9873
Sc 2.3667 0.5254 7.3746
Sc 3.7229 2.3650 10.2300
Sc 2.8926 7.1156 4.8427
```



9.
ScSiSeBr2 | PBE | optimized geometry

Values from the calculation:
Crystal system: tetragonal
SG: P4/mmm
ρ, Mg/m³: 3.9
Total magnetic moment, μB/cell: 1.1
Density of states at the Fermi level, states/eV/f.u.: 4.85
DFT total energy, eV per atom: -3.828

```
5
Lattice="-2.5158 -2.1743 -3.7911 -1.7449 -3.5109 3.1715 -4.1261 2.9801 1.0289" Properties=species:S:1:pos:R:3 pbc="T T T"
Se -2.0630 1.4900 0.5144
Br -1.2579 -1.0871 -1.8955
Br -0.8724 -1.7554 1.5857
Si 0.0000 0.0000 0.0000
Sc -4.1934 -1.3525 0.2046
```



10.
ScSiSeBr2 | PBE | optimized geometry

Values from the calculation:
Crystal system: tetragonal
SG: P4/mmm
ρ, Mg/m³: 3.6
Total magnetic moment, μB/cell: 1.0
Density of states at the Fermi level, states/eV/f.u.: 2.23
DFT total energy, eV per atom: -4.101

```
5
Lattice="-1.5182 -4.9742 0.3650 2.7309 -1.1483 -4.2900 4.2347 -1.0736 2.9830" Properties=species:S:1:pos:R:3 pbc="T T T"
Br 1.3654 -0.5741 -2.1450
Br -0.7591 -2.4871 0.1825
Sc 0.0000 0.0000 0.0000
Se 2.1173 -0.5368 1.4915
Si 2.7237 -3.5980 -0.4710
```



11.
ScSnSe2Br | PBE | optimized geometry

Values from the calculation:
Crystal system: tetragonal
SG: P4/mmm
ρ, Mg/m³: 4.4
Total magnetic moment, μB/cell: 0.8
Density of states at the Fermi level, states/eV/f.u.: 4.37
DFT total energy, eV per atom: -3.883

```
5
Lattice="5.3516 0.0000 0.0000 0.0000 5.3516 0.0000 0.0000 0.0000 5.3214" Properties=species:S:1:pos:R:3 pbc="T T T"
Se 0.0000 2.6758 0.0000
Se 2.6758 0.0000 0.0000
Sn 0.0000 0.0000 0.0000
Sc 2.6758 2.6758 2.6607
Br 0.0000 0.0000 2.6607
```



12.
ScSnSe2Br | PBE | optimized geometry

Values from the calculation:
Crystal system: tetragonal
SG: P4/mmm
ρ, Mg/m³: 4.7
Total magnetic moment, μB/cell: 0.0
Density of states at the Fermi level, states/eV/f.u.: 0.42
DFT total energy, eV per atom: -4.586

```
5
Lattice="-2.0341 -4.6842 1.2438 3.0849 -0.2110 4.2503 -3.6286 2.3054 2.7481" Properties=species:S:1:pos:R:3 pbc="T T T"
Se 1.5424 -0.1055 2.1252
Se -1.0170 -2.3421 0.6219
Sn -1.2889 -1.2949 4.1211
Br -1.8143 1.1527 1.3740
Sc 0.0000 0.0000 0.0000
```



Number 1: E_form (uncorrected) -1688 meV/atom. Number 2: E_form (uncorrected) -652 meV/atom. Number 3: E_form (uncorrected) -1130 meV/atom. Number 4: E_form (uncorrected) -1202 meV/atom. Number 5: E_form (uncorrected) -510 meV/atom. Number 6: E_form (uncorrected) -797 meV/atom. Number 7: E_form (uncorrected) -528 meV/atom. Number 8: E_form (uncorrected) -1611 meV/atom. Number 9: E_form (uncorrected) -111 meV/atom. Number 10: E_form (uncorrected) -384 meV/atom. Number 11: E_form (uncorrected) -88 meV/atom. Number 12: E_form (uncorrected) -791 meV/atom.